1.
A plane-wave DFT calculation with PBE was carried out for crystalline Pu2Ge6IrPt at its relaxed geometry.

Output
E   -441.431 eV per cell
Energy of formation   -230 meV per atom

Cell lengths 6.0775, 6.0775, 39.8719 Å; angles 90.00, 90.00, 120.00 degrees
Space group R-3m (No. 166, hexagonal axes)
Symmetry-distinct sites (fractional):
Pu: 0.0000 0.0000 0.1257 [6 per cell]
Pu: 0.0000 0.0000 0.2750 [6 per cell]
Ge: 0.0514 0.5257 0.7193 [18 per cell]
Ge: 0.0513 0.5256 0.8722 [18 per cell]
Ir: 0.0000 0.0000 0.4207 [6 per cell]
Pt: 0.0000 0.0000 0.0000 [3 per cell]
Pt: 0.0000 0.0000 0.5000 [3 per cell]


2.
A plane-wave DFT calculation with PBE was carried out for crystalline Pm2BeIr at its relaxed geometry.

Output
Energy above the most stable polymorph in this dataset   0.91 eV/f.u.
E   -23.034 eV per cell
Energy of formation   -236 meV per atom

Cell lengths 4.917, 4.917, 3.598 Å; angles 90.00, 90.00, 90.00 degrees
Space group P4/mmm (No. 123)
Symmetry-distinct sites (fractional):
Pm: 0.000 0.500 0.000 [2 per cell]
Be: 0.000 0.000 0.500 [1 per cell]
Ir: 0.500 0.500 0.500 [1 per cell]


3.
A plane-wave DFT calculation with PBE was carried out for crystalline Ti2HSe at its relaxed geometry.

Output
Energy above the most stable polymorph in this dataset   2.07 eV/f.u.
E   -94.250 eV per cell

Cell lengths 6.002, 6.002, 6.002 Å; angles 90.00, 90.00, 90.00 degrees
Space group Fm-3m (No. 225)
Symmetry-distinct sites (fractional):
Ti: 0.250 0.250 0.250 [8 per cell]
H: 0.000 0.000 0.000 [4 per cell]
Se: 0.000 0.000 0.500 [4 per cell]


4.
A plane-wave DFT calculation with PBE was carried out for crystalline Li3Ho3ScSe8 at its relaxed geometry.

Output
E   -232.876 eV per cell
Formation energy from raw total energies   -1.596 eV/atom

Cell lengths 8.0303, 8.0303, 19.3235 Å; angles 90.00, 90.00, 120.00 degrees
Space group R-3m (No. 166, hexagonal axes)
Symmetry-distinct sites (fractional):
Li: 0.0000 0.5000 0.0000 [9 per cell]
Ho: 0.0000 0.5000 0.5000 [9 per cell]
Sc: 0.0000 0.0000 0.5000 [3 per cell]
Se: 0.0000 0.0000 0.2521 [6 per cell]
Se: 0.0118 0.5059 0.2486 [18 per cell]


5.
A plane-wave DFT calculation with PBE was carried out for crystalline Li3Ge2Ir at its relaxed geometry.

Output
E   -103.421 eV per cell
Energy of formation   -336 meV per atom

Cell lengths 5.634, 12.642, 5.747 Å; angles 90.00, 90.00, 90.00 degrees
Space group Ibam (No. 72)
Symmetry-distinct sites (fractional):
Li: 0.000 0.000 0.250 [4 per cell]
Li: 0.244 0.164 0.000 [8 per cell]
Ge: 0.224 0.377 0.000 [8 per cell]
Ir: 0.000 0.500 0.250 [4 per cell]


6.
A plane-wave DFT calculation with PBE was carried out for crystalline H2IrPd at its relaxed geometry.

Output
Energy above the most stable polymorph in this dataset   0.10 eV/f.u.
E   -59.778 eV per cell

Cell lengths 2.8593, 2.8593, 16.1152 Å; angles 90.00, 90.00, 120.00 degrees
Space group R-3m (No. 166, hexagonal axes)
Symmetry-distinct sites (fractional):
H: 0.0000 0.0000 0.1114 [6 per cell]
Ir: 0.0000 0.0000 0.5000 [3 per cell]
Pd: 0.0000 0.0000 0.0000 [3 per cell]


Q: E of number 5 (Li3Ge2Ir)?
A: -103.421 eV per cell